This record from Alexandria via LeMat-Bulk describes crystalline Tb3Pr3Tm at its relaxed geometry. The functional is GGA-PBE.

a = 8.905 Å, b = 8.905 Å, c = 8.905 Å
α = 58.70°, β = 58.70°, γ = 58.70°
Element x y z (fractional)
1 Tb 0.069 0.565 0.225
2 Tb 0.225 0.069 0.565
3 Tb 0.435 0.775 0.931
4 Tb 0.565 0.225 0.069
5 Tb 0.775 0.931 0.435
6 Tb 0.931 0.435 0.775
7 Pr 0.202 0.685 0.436
8 Pr 0.315 0.564 0.798
9 Pr 0.436 0.202 0.685
10 Pr 0.564 0.798 0.315
11 Pr 0.685 0.436 0.202
12 Pr 0.798 0.315 0.564
13 Tm 0.153 0.153 0.153
14 Tm 0.847 0.847 0.847

## Properties
The total magnetization is 0.00 μB per formula unit. The space group is R-3, No. 148. Its calculated volume is 34.60 A^3/atom. For the formation energy, the calculation gives 1.7 eV/f.u. The calculation puts the density of states at the Fermi level at 1.44 states/eV/atom.

This record from Alexandria via LeMat-Bulk describes crystalline Nd6SmY2Ho3 at its relaxed geometry. The functional is GGA-PBE.

a = 6.287 Å, b = 6.287 Å, c = 11.896 Å
α = 95.04°, β = 95.04°, γ = 120.00°
Element x y z (fractional)
1 Nd 0.084 0.417 0.752
2 Nd 0.249 0.249 0.248
3 Nd 0.417 0.084 0.752
4 Nd 0.583 0.916 0.248
5 Nd 0.751 0.751 0.752
6 Nd 0.916 0.583 0.248
7 Sm 0.000 0.000 0.500
8 Y 0.333 0.667 0.500
9 Y 0.667 0.333 0.500
10 Ho 0.167 0.833 0.000
11 Ho 0.500 0.500 0.000
12 Ho 0.833 0.167 0.000

## Properties
The total magnetization is 0.00 μB per formula unit. The space group is C2/m, No. 12. Its calculated volume is 33.41 A^3/atom. For the formation energy, the calculation gives 0.1 eV/f.u. The calculation puts the density of states at the Fermi level at 1.16 states/eV/atom.

This record from Alexandria via LeMat-Bulk describes crystalline NiOs2 at its relaxed geometry. The functional is GGA-PBE.

a = 6.508 Å, b = 6.508 Å, c = 6.508 Å
α = 24.12°, β = 24.12°, γ = 24.12°
Element x y z (fractional)
1 Ni 0.000 0.000 0.000
2 Os 0.222 0.222 0.222
3 Os 0.778 0.778 0.778

## Properties
The total magnetization is 0.00 μB per formula unit. The space group is R-3m, No. 166. Its calculated volume is 13.48 A^3/atom. For the formation energy, the calculation gives 0.4 eV/f.u. The calculation puts the density of states at the Fermi level at 1.36 states/eV/atom. The value obtained for the energy above the lowest structure with this stoichiometry is 0.27 eV/f.u.

This record from Alexandria via LeMat-Bulk describes crystalline CdSi2Pd7 at its relaxed geometry. The functional is GGA-PBE.

a = 10.278 Å, b = 10.278 Å, c = 10.278 Å
α = 157.47°, β = 157.47°, γ = 32.08°
Element x y z (fractional)
1 Cd 0.000 0.000 0.000
2 Si 0.326 0.326 0.000
3 Si 0.674 0.674 0.000
4 Pd 0.106 0.606 0.500
5 Pd 0.250 0.750 0.500
6 Pd 0.394 0.894 0.500
7 Pd 0.500 0.500 0.000
8 Pd 0.606 0.106 0.500
9 Pd 0.750 0.250 0.500
10 Pd 0.894 0.394 0.500

## Properties
The total magnetization is 0.00 μB per formula unit. The space group is I4/mmm, No. 139. Its calculated volume is 15.93 A^3/atom. The formation energy (no corrections) comes out at -0.55 eV per atom. The calculation puts the density of states at the Fermi level at 0.27 states/eV/atom. The value obtained for the energy above the lowest structure with this stoichiometry is 0.00 eV/f.u.

This record from Alexandria via LeMat-Bulk describes crystalline Re2PBr at its relaxed geometry. The functional is GGA-PBE.

a = 4.768 Å, b = 4.768 Å, c = 4.768 Å
α = 129.71°, β = 129.71°, γ = 73.87°
Element x y z (fractional)
1 Re 0.000 0.000 0.000
2 Re 0.750 0.250 0.500
3 P 0.500 0.500 0.000
4 Br 0.250 0.750 0.500

## Properties
The total magnetization is 0.00 μB per formula unit. The space group is I-4m2, No. 119. Its calculated volume is 15.64 A^3/atom. The formation energy (no corrections) comes out at 1.22 eV per atom. The calculation puts the density of states at the Fermi level at 0.78 states/eV/atom. The value obtained for the energy above the lowest structure with this stoichiometry is 3.68 eV/f.u.

This record from Alexandria via LeMat-Bulk describes crystalline AcNd2Ga2 at its relaxed geometry. The functional is GGA-PBE.

a = 7.184 Å, b = 7.184 Å, c = 9.629 Å
α = 90.00°, β = 90.00°, γ = 141.72°
Element x y z (fractional)
1 Ac 0.083 0.917 0.500
2 Ac 0.917 0.083 0.000
3 Nd 0.190 0.810 0.123
4 Nd 0.373 0.627 0.363
5 Nd 0.627 0.373 0.863
6 Nd 0.810 0.190 0.623
7 Ga 0.279 0.721 0.823
8 Ga 0.452 0.548 0.673
9 Ga 0.548 0.452 0.173
10 Ga 0.721 0.279 0.323

## Properties
The total magnetization is 0.00 μB per formula unit. The space group is Cmc2_1, No. 36. Its calculated volume is 30.78 A^3/atom. For the formation energy, the calculation gives -1.9 eV/f.u. The calculation puts the density of states at the Fermi level at 1.04 states/eV/atom. The value obtained for the energy above the lowest structure with this stoichiometry is 0.00 eV/f.u.

This record from Alexandria via LeMat-Bulk describes crystalline ScMn2Au at its relaxed geometry. The functional is GGA-PBE.

a = 5.026 Å, b = 5.026 Å, c = 5.026 Å
α = 133.08°, β = 133.08°, γ = 68.53°
Element x y z (fractional)
1 Sc 0.000 0.000 0.000
2 Mn 0.250 0.750 0.500
3 Mn 0.750 0.250 0.500
4 Au 0.500 0.500 0.000

## Properties
The total magnetization is 6.53 μB per formula unit. The space group is I4/mmm, No. 139. Its calculated volume is 16.63 A^3/atom. For the formation energy, the calculation gives -0.3 eV/f.u. The calculation puts the density of states at the Fermi level at 1.16 states/eV/atom.

This record from Alexandria via LeMat-Bulk describes crystalline AlSn2Ru2 at its relaxed geometry. The functional is GGA-PBE.

a = 6.677 Å, b = 6.677 Å, c = 3.992 Å
α = 90.00°, β = 90.00°, γ = 90.00°
Element x y z (fractional)
1 Al 0.000 0.000 0.000
2 Al 0.500 0.500 0.000
3 Sn 0.158 0.342 0.500
4 Sn 0.342 0.842 0.500
5 Sn 0.658 0.158 0.500
6 Sn 0.842 0.658 0.500
7 Ru 0.149 0.649 0.000
8 Ru 0.351 0.149 0.000
9 Ru 0.649 0.851 0.000
10 Ru 0.851 0.351 0.000

## Properties
The total magnetization is 0.00 μB per formula unit. The space group is P4/mbm, No. 127. Its calculated volume is 17.80 A^3/atom. For the formation energy, the calculation gives -0.7 eV/f.u. The calculation puts the density of states at the Fermi level at 0.54 states/eV/atom.